No. 1
Compound: Na6AgSn12
Source: Alexandria via LeMat-Bulk
Functional: PBE-GGA
Structure: optimized geometry

Calculated values
Magnetization   0.000 μB/atom
Energy of formation from the pure elements   -0.058 eV/atom

Structure (extended XYZ):
```
19
Lattice="6.8775 3.9707 3.2551 -6.8775 3.9707 3.2551 0.0000 -7.9414 3.2551" Properties=species:S:1:pos:R:3 pbc="T T T"
Na -1.8295 -1.9509 2.4340
Na -0.7748 2.5599 2.4340
Na 2.6043 -0.6089 2.4340
Na -2.6043 0.6089 7.3311
Na 0.7748 -2.5598 7.3311
Na 1.8295 1.9509 7.3311
Ag 0.0000 0.0000 4.8826
Sn -5.9661 1.1355 4.0897
Sn -3.9664 -4.5990 5.6754
Sn -2.8828 0.6588 4.0194
Sn 1.9997 -5.7345 4.0897
Sn -2.0119 -2.1672 5.7457
Sn 0.8709 -2.8260 4.0194
Sn -0.8709 2.8260 5.7457
Sn 2.0120 2.1672 4.0194
Sn -1.9997 5.7345 5.6754
Sn 2.8828 -0.6588 5.7457
Sn 3.9664 4.5990 4.0897
Sn 5.9661 -1.1355 5.6754
```


No. 2
Compound: Na3AgSn3
Source: Alexandria via LeMat-Bulk
Functional: PBE-GGA
Structure: optimized geometry

Calculated values
Magnetization   0.000 μB/atom
Energy of formation from the pure elements   -0.100 eV/atom

Structure (extended XYZ):
```
14
Lattice="3.4752 -4.8740 0.0000 3.4752 4.8740 0.0000 -1.2049 0.0000 11.3466" Properties=species:S:1:pos:R:3 pbc="T T T"
Na 3.4752 3.1298 0.0000
Na 2.8728 2.0979 5.6733
Na 3.1839 0.0000 1.7219
Na 2.5616 0.0000 9.6248
Na 2.8728 -2.0979 5.6733
Na 3.4752 -3.1298 0.0000
Ag 0.7456 0.0000 6.8063
Ag 5.0000 0.0000 4.5404
Sn 1.6668 2.6385 2.7113
Sn 0.8436 0.0000 3.9545
Sn 4.0787 2.6385 8.6353
Sn 1.6668 -2.6385 2.7113
Sn 4.9019 0.0000 7.3921
Sn 4.0787 -2.6385 8.6353
```


No. 3
Compound: Na3Ag2Sn3
Source: Alexandria via LeMat-Bulk
Functional: PBE-GGA
Structure: optimized geometry

Calculated values
Magnetization   0.000 μB/atom
Energy of formation from the pure elements   -0.087 eV/atom
Energy above the most stable polymorph in this dataset   2.0 kJ/mol of atoms

Structure (extended XYZ):
```
16
Lattice="2.4338 -5.2429 0.0000 2.4338 5.2429 0.0000 0.0000 0.0000 15.7441" Properties=species:S:1:pos:R:3 pbc="T T T"
Na 2.4338 5.2167 11.8081
Na 2.4338 3.6184 8.4254
Na 2.4338 3.6184 15.1908
Na 2.4338 -3.6184 0.5534
Na 2.4338 -3.6184 7.3187
Na 2.4338 -5.2167 3.9360
Ag 2.4338 2.3068 2.4903
Ag 2.4338 2.3068 5.3817
Ag 2.4338 -2.3068 10.3624
Ag 2.4338 -2.3068 13.2538
Sn 2.4338 2.1425 11.8081
Sn 2.4338 0.3819 9.3709
Sn 2.4338 0.3819 14.2453
Sn 2.4338 -0.3819 1.4988
Sn 2.4338 -0.3819 6.3733
Sn 2.4338 -2.1425 3.9360
```


No. 4
Compound: Na2Ag2Sn
Source: Alexandria via LeMat-Bulk
Functional: PBE-GGA
Structure: optimized geometry

Calculated values
Magnetization   0.000 μB/atom
Energy of formation from the pure elements   0.100 eV/atom
Energy above the most stable polymorph in this dataset   18.6 kJ/mol of atoms

Structure (extended XYZ):
```
10
Lattice="8.5384 0.0000 0.0000 0.0000 8.5384 0.0000 0.0000 0.0000 3.1989" Properties=species:S:1:pos:R:3 pbc="T T T"
Na 1.1285 3.1407 0.0000
Na 3.1407 7.4098 0.0000
Na 5.3977 1.1285 0.0000
Na 7.4098 5.3977 0.0000
Ag 1.4209 5.6901 1.5995
Ag 2.8483 1.4209 1.5995
Ag 5.6901 7.1175 1.5995
Ag 7.1175 2.8483 1.5995
Sn 0.0000 0.0000 0.0000
Sn 4.2692 4.2692 0.0000
```


No. 5
Compound: Na3AgSn
Source: Alexandria via LeMat-Bulk
Functional: PBE-GGA
Structure: optimized geometry

Calculated values
Magnetization   0.000 μB/atom
Energy of formation from the pure elements   -0.021 eV/atom
Energy above the most stable polymorph in this dataset   2.5 kJ/mol of atoms

Structure (extended XYZ):
```
10
Lattice="5.6989 -4.5978 0.0000 5.6989 4.5978 0.0000 -4.5757 0.0000 5.8032" Properties=species:S:1:pos:R:3 pbc="T T T"
Na -0.8101 0.0000 1.9224
Na 2.1664 1.7969 1.5841
Na 2.1664 -1.7969 1.5841
Na 4.6558 1.7969 4.2191
Na 4.6558 -1.7969 4.2191
Na 7.6323 0.0000 3.8808
Ag -1.1037 0.0000 5.1951
Ag 7.9259 0.0000 0.6081
Sn 1.5850 0.0000 4.2800
Sn 5.2371 0.0000 1.5232
```


No. 6
Compound: Na2Ag5Sn2
Source: Alexandria via LeMat-Bulk
Functional: PBE-GGA
Structure: optimized geometry

Calculated values
Magnetization   0.000 μB/atom
Energy of formation from the pure elements   -0.017 eV/atom

Structure (extended XYZ):
```
18
Lattice="-6.7732 3.0581 4.8502 6.7732 -3.0581 4.8502 6.7732 3.0581 -4.8502" Properties=species:S:1:pos:R:3 pbc="T T T"
Na 1.7057 0.0467 0.0000
Na 5.0676 0.0467 0.0000
Na 1.7057 3.0114 4.8502
Na 5.0676 3.0114 4.8502
Ag 5.9243 1.9385 -2.1102
Ag 7.6221 -1.1196 2.7400
Ag 0.8489 1.1196 2.7400
Ag 5.9243 1.1196 2.7400
Ag -1.9222 1.6825 2.3156
Ag 8.6954 1.6825 2.3156
Ag 3.3866 2.0649 1.8400
Ag 3.3866 0.9932 6.6902
Ag 1.9222 4.4337 2.3156
Ag -1.9222 1.3756 7.1658
Sn 3.3866 2.9505 -0.8779
Sn 3.3866 0.1076 3.9723
Sn 0.0000 3.0581 0.6770
Sn 0.0000 0.0000 5.5272
```


No. 7
Compound: Na2Ag3Sn
Source: Alexandria via LeMat-Bulk
Functional: PBE-GGA
Structure: optimized geometry

Calculated values
Magnetization   0.000 μB/atom
Energy of formation from the pure elements   -0.129 eV/atom
Energy above the most stable polymorph in this dataset   1.1 kJ/mol of atoms

Structure (extended XYZ):
```
12
Lattice="5.8398 0.0000 0.0000 -2.9199 5.0574 0.0000 0.0000 0.0000 9.1842" Properties=species:S:1:pos:R:3 pbc="T T T"
Na 0.0000 3.3716 0.5506
Na 0.0000 3.3716 4.0415
Na 2.9199 1.6858 5.1427
Na 2.9199 1.6858 8.6335
Ag 0.0000 1.7387 6.8881
Ag -1.4142 4.1881 6.8881
Ag 1.5057 0.8693 2.2960
Ag 1.4142 4.1881 6.8881
Ag 4.3341 0.8693 2.2960
Ag 2.9199 3.3188 2.2960
Sn 0.0000 0.0000 0.0000
Sn 0.0000 0.0000 4.5921
```


No. 8
Compound: Na8AgSn2
Source: Alexandria via LeMat-Bulk
Functional: PBE-GGA
Structure: optimized geometry

Calculated values
Magnetization   0.000 μB/atom
Energy of formation from the pure elements   0.017 eV/atom
Energy above the most stable polymorph in this dataset   4.5 kJ/mol of atoms

Structure (extended XYZ):
```
11
Lattice="5.6704 -6.0228 0.0000 5.6704 6.0228 0.0000 -0.7671 0.0000 5.8174" Properties=species:S:1:pos:R:3 pbc="T T T"
Na 0.8497 0.0000 1.6092
Na 4.3856 2.9241 1.2779
Na 2.2093 0.0000 4.7798
Na 6.1881 2.9241 4.5394
Na 4.3856 -2.9241 1.2779
Na 8.3644 0.0000 1.0375
Na 6.1881 -2.9241 4.5394
Na 9.7240 0.0000 4.2081
Ag 5.6704 0.0000 0.0000
Sn 3.9827 0.0000 2.1964
Sn 6.5910 0.0000 3.6209
```


No. 9
Compound: Na2AgSn6
Source: Alexandria via LeMat-Bulk
Functional: PBE-GGA
Structure: optimized geometry

Calculated values
Magnetization   0.000 μB/atom
Energy of formation from the pure elements   -0.089 eV/atom

Structure (extended XYZ):
```
9
Lattice="5.9381 -3.2680 0.0000 5.9381 3.2680 0.0000 -0.2789 0.0000 6.4185" Properties=species:S:1:pos:R:3 pbc="T T T"
Na 1.7930 0.0000 2.2467
Na 9.8043 0.0000 4.1718
Ag 5.7987 0.0000 3.2093
Sn 4.7951 1.6795 1.0709
Sn 3.6026 0.0000 5.1215
Sn 6.8022 1.6795 5.3476
Sn 4.7951 -1.6795 1.0709
Sn 7.9948 0.0000 1.2970
Sn 6.8022 -1.6795 5.3476
```


No. 10
Compound: Na6AgSn
Source: Alexandria via LeMat-Bulk
Functional: PBE-GGA
Structure: optimized geometry

Calculated values
Magnetization   0.000 μB/atom
Energy of formation from the pure elements   -0.067 eV/atom

Structure (extended XYZ):
```
8
Lattice="6.0796 0.0000 0.0000 0.0000 6.0713 0.0000 -0.0346 0.0000 6.0819" Properties=species:S:1:pos:R:3 pbc="T T T"
Na -0.0064 0.0000 1.5111
Na 6.0515 0.0000 4.5708
Na 1.4968 3.0356 6.0777
Na 3.0225 1.5045 3.0409
Na 3.0225 4.5667 3.0409
Na 4.5482 3.0356 0.0041
Ag -0.0173 3.0356 3.0409
Sn 3.0398 0.0000 0.0000
```


No. 11
Compound: Na3AgSn
Source: Alexandria via LeMat-Bulk
Functional: PBE-GGA
Structure: optimized geometry

Calculated values
Magnetization   0.000 μB/atom
Energy of formation from the pure elements   -0.047 eV/atom
Energy above the most stable polymorph in this dataset   0.0 kJ/mol of atoms

Structure (extended XYZ):
```
5
Lattice="5.3399 0.0000 0.0000 -1.3346 5.9962 0.0000 -1.9636 -3.0157 5.2029" Properties=species:S:1:pos:R:3 pbc="T T T"
Na 0.0000 0.0000 0.0000
Na -1.6491 1.4902 2.6014
Na 1.6882 -1.5079 2.6014
Ag 2.0027 2.9981 0.0000
Sn -0.6673 2.9981 0.0000
```


No. 12
Compound: NaAg2Sn2
Source: Alexandria via LeMat-Bulk
Functional: PBE-GGA
Structure: optimized geometry

Calculated values
Magnetization   0.000 μB/atom
Energy of formation from the pure elements   0.002 eV/atom
Energy above the most stable polymorph in this dataset   4.2 kJ/mol of atoms

Structure (extended XYZ):
```
5
Lattice="2.4259 1.4006 5.5620 -2.4259 1.4006 5.5620 0.0000 -2.8012 5.5620" Properties=species:S:1:pos:R:3 pbc="T T T"
Na 0.0000 0.0000 0.0000
Ag 0.0000 0.0000 3.3983
Ag 0.0000 0.0000 13.2876
Sn 0.0000 0.0000 6.8330
Sn 0.0000 0.0000 9.8529
```


No. 13
Compound: NaAg3Sn
Source: Alexandria via LeMat-Bulk
Functional: PBE-GGA
Structure: optimized geometry

Calculated values
Magnetization   0.000 μB/atom
Energy of formation from the pure elements   -0.052 eV/atom
Energy above the most stable polymorph in this dataset   0.0 kJ/mol of atoms

Structure (extended XYZ):
```
10
Lattice="2.8504 1.6457 7.6374 -2.8504 1.6457 7.6374 0.0000 -3.2914 7.6374" Properties=species:S:1:pos:R:3 pbc="T T T"
Na 0.0000 0.0000 3.8080
Na 0.0000 0.0000 19.1042
Ag 0.0000 -1.6377 6.4324
Ag -1.4183 0.8188 6.4324
Ag -1.4183 -0.8188 16.4798
Ag 1.4183 0.8188 6.4324
Ag 1.4183 -0.8188 16.4798
Ag 0.0000 1.6377 16.4798
Sn 0.0000 0.0000 9.7406
Sn 0.0000 0.0000 13.1716
```


No. 14
Compound: Na2AgSn3
Source: Alexandria via LeMat-Bulk
Functional: PBE-GGA
Structure: optimized geometry

Calculated values
Magnetization   0.000 μB/atom
Energy of formation from the pure elements   0.098 eV/atom
Energy above the most stable polymorph in this dataset   21.0 kJ/mol of atoms

Structure (extended XYZ):
```
12
Lattice="6.7897 0.0000 0.0000 -3.3948 5.8800 0.0000 0.0000 0.0000 8.5185" Properties=species:S:1:pos:R:3 pbc="T T T"
Na 0.0000 0.0000 0.0000
Na 0.0000 0.0000 4.2592
Na 0.0000 3.9200 0.7820
Na 3.3948 1.9600 7.7364
Ag 0.0000 3.9200 3.8222
Ag 3.3948 1.9600 4.6963
Sn 0.0000 2.2034 6.2806
Sn -1.4866 4.7783 6.2806
Sn 1.9082 1.1017 2.2378
Sn 1.4866 4.7783 6.2806
Sn 4.8814 1.1017 2.2378
Sn 3.3948 3.6766 2.2378
```


No. 15
Compound: Na2Ag5Sn3
Source: Alexandria via LeMat-Bulk
Functional: PBE-GGA
Structure: optimized geometry

Calculated values
Magnetization   0.000 μB/atom
Energy of formation from the pure elements   -0.057 eV/atom
Energy above the most stable polymorph in this dataset   0.0 kJ/mol of atoms

Structure (extended XYZ):
```
20
Lattice="5.3697 -6.8731 0.0000 5.3697 6.8731 0.0000 -0.7414 0.0000 5.8920" Properties=species:S:1:pos:R:3 pbc="T T T"
Na 3.3757 3.4677 5.1820
Na 6.2515 3.4677 3.6560
Na 3.7465 -3.4677 2.2360
Na 6.6222 -3.4677 0.7100
Ag 4.8136 6.3679 4.4190
Ag 1.9059 0.4547 5.8293
Ag 3.7807 2.0347 2.1187
Ag 2.2766 -0.4547 2.8833
Ag 6.5880 2.0347 0.8273
Ag 3.4100 -2.0347 5.0648
Ag 7.7213 0.4547 3.0088
Ag 6.2173 -2.0347 3.7733
Ag 8.0920 -0.4547 0.0628
Ag 5.1843 -6.3679 1.4730
Sn 3.6908 4.8487 2.2510
Sn 6.6779 4.8487 0.6950
Sn 4.8136 0.5148 4.4190
Sn 5.1843 -0.5148 1.4730
Sn 3.3201 -4.8487 5.1970
Sn 6.3072 -4.8487 3.6410
```


No. 16
Compound: NaAg12Sn6
Source: Alexandria via LeMat-Bulk
Functional: PBE-GGA
Structure: optimized geometry

Calculated values
Magnetization   0.000 μB/atom
Energy of formation from the pure elements   0.094 eV/atom

Structure (extended XYZ):
```
19
Lattice="6.3043 3.6398 3.1279 -6.3043 3.6398 3.1279 0.0000 -7.2795 3.1279" Properties=species:S:1:pos:R:3 pbc="T T T"
Na 0.0000 0.0000 0.0000
Ag -2.4578 -4.2571 4.6919
Ag -4.9156 0.0000 4.6919
Ag -1.4784 -0.8535 2.5636
Ag 1.4784 -0.8535 2.5636
Ag 0.0000 1.7071 2.5636
Ag 2.4578 -4.2571 4.6919
Ag -2.4578 4.2571 4.6919
Ag 0.0000 -1.7071 6.8202
Ag -1.4784 0.8535 6.8202
Ag 1.4784 0.8535 6.8201
Ag 4.9156 0.0000 4.6919
Ag 2.4578 4.2570 4.6919
Sn 0.0000 -2.9485 4.0543
Sn -2.5535 1.4743 4.0543
Sn -2.5535 -1.4743 5.3294
Sn 2.5535 1.4743 4.0543
Sn 2.5535 -1.4743 5.3294
Sn 0.0000 2.9485 5.3294
```


No. 17
Compound: Na2Ag3Sn4
Source: Alexandria via LeMat-Bulk
Functional: PBE-GGA
Structure: optimized geometry

Calculated values
Magnetization   0.000 μB/atom
Energy of formation from the pure elements   -0.090 eV/atom

Structure (extended XYZ):
```
9
Lattice="0.0000 5.0752 7.5193 2.9102 0.0000 7.5193 2.9102 5.0752 0.0000" Properties=species:S:1:pos:R:3 pbc="T T T"
Na 2.9102 5.0752 1.8398
Na 2.9102 5.0752 13.1987
Ag 1.4551 2.5376 0.0000
Ag 1.4551 2.5376 7.5193
Ag 2.9102 5.0752 7.5193
Sn 2.9102 3.3910 5.0782
Sn 2.9102 3.3910 9.9603
Sn 2.9102 6.7594 5.0782
Sn 2.9102 6.7594 9.9603
```


No. 18
Compound: NaAg4Sn
Source: Alexandria via LeMat-Bulk
Functional: PBE-GGA
Structure: optimized geometry

Calculated values
Magnetization   0.000 μB/atom
Energy of formation from the pure elements   0.056 eV/atom
Energy above the most stable polymorph in this dataset   8.4 kJ/mol of atoms

Structure (extended XYZ):
```
12
Lattice="2.3370 -9.4916 0.0000 2.3370 9.4916 0.0000 0.0000 0.0000 5.9081" Properties=species:S:1:pos:R:3 pbc="T T T"
Na 2.3370 7.8659 4.4311
Na 2.3370 -7.8659 1.4770
Ag 2.3370 8.2560 1.4770
Ag 2.3370 5.4635 0.0585
Ag 2.3370 5.4635 2.8955
Ag 2.3370 0.0000 0.0000
Ag 2.3370 0.0000 2.9540
Ag 2.3370 -5.4635 3.0126
Ag 2.3370 -5.4635 5.8496
Ag 2.3370 -8.2560 4.4311
Sn 2.3370 2.8819 4.4311
Sn 2.3370 -2.8819 1.4770
```


No. 19
Compound: NaAgSn2
Source: Alexandria via LeMat-Bulk
Functional: PBE-GGA
Structure: optimized geometry

Calculated values
Magnetization   0.000 μB/atom
Energy of formation from the pure elements   0.047 eV/atom

Structure (extended XYZ):
```
8
Lattice="-2.2196 2.2196 10.4671 2.2196 -2.2196 10.4671 2.2196 2.2196 -10.4671" Properties=species:S:1:pos:R:3 pbc="T T T"
Na 0.0000 0.0000 0.0000
Na 0.0000 2.2196 5.2335
Ag 2.2196 0.0000 5.2335
Ag 0.0000 0.0000 10.4671
Sn 1.1098 -1.0495 7.8503
Sn 1.1701 1.1098 2.6168
Sn 1.1098 3.2690 -2.6168
Sn 1.0495 1.1098 13.0838
```


No. 20
Compound: NaAg3Sn
Source: Alexandria via LeMat-Bulk
Functional: PBE-GGA
Structure: optimized geometry

Calculated values
Magnetization   0.000 μB/atom
Energy of formation from the pure elements   -0.012 eV/atom
Energy above the most stable polymorph in this dataset   3.9 kJ/mol of atoms

Structure (extended XYZ):
```
20
Lattice="7.6234 0.0000 0.0000 0.0000 6.1112 0.0000 -2.7535 0.0000 8.8623" Properties=species:S:1:pos:R:3 pbc="T T T"
Na 0.5618 0.0560 2.6164
Na -0.8149 2.9996 7.0476
Na 5.6847 3.1116 1.8147
Na 4.3080 6.0552 6.2459
Ag -1.3196 4.5675 4.4530
Ag 0.0571 4.5992 0.0218
Ag 0.9295 3.0737 2.7451
Ag -0.4473 6.0930 7.1763
Ag 1.2426 1.5102 5.2793
Ag 2.6194 1.5454 0.8482
Ag 2.2504 4.5658 8.0142
Ag 3.6272 4.6010 3.5830
Ag 5.3171 0.0181 1.6860
Ag 3.9403 3.0374 6.1172
Ag 4.8127 1.5120 8.8405
Ag 6.1895 1.5436 4.4093
Sn 2.7613 4.5551 0.8748
Sn 1.3845 4.6116 5.3060
Sn 3.4853 1.4996 3.5563
Sn 2.1085 1.5560 7.9875
```